Here is an optimized crystal structure of Na3Zn2O4 from the Alexandria database. Energies are from PBE.

Lattice parameters (Å, degrees): 11.383 3.276 8.460 90.00 127.41 90.00
Space group C2/m (No. 12)
Symmetry-distinct sites (fractional):
Na1 0.000 0.000 0.000 (multiplicity 2)
Na2 0.193 0.000 0.803 (multiplicity 4)
Zn1 0.130 0.500 0.361 (multiplicity 4)
O1 0.073 0.500 0.860 (multiplicity 4)
O2 0.234 0.000 0.343 (multiplicity 4)

Summary:
E: -75.7 eV for the cell shown
uncorrected formation energy: -1.28 eV per atom
energy relative to the lowest polymorph listed for this composition: 2.6 meV/atom